[1]
Computed, not measured: an optimized crystal structure of AgCOF2 at the PBE-GGA level of DFT.

Cell: 4.170 4.170 4.150 Å, 90.00 90.00 90.00°
Space group P4/mmm (No. 123)
Inequivalent atoms, fractional coordinates:
Ag: 0.000 0.000 0.000 [1 per cell]
C: 0.500 0.500 0.500 [1 per cell]
O: 0.000 0.000 0.500 [1 per cell]
F: 0.000 0.500 0.000 [2 per cell]

Uncorrected energy: -3.102 eV/atom
Energy relative to the lowest polymorph listed for this composition: 0.982 eV/atom
Density: 4.00 g cm⁻³
Raw formation energy: 1.0531 eV/atom



[2]
Computed, not measured: an optimized crystal structure of AgCOF2 at the PBE-GGA level of DFT.

Cell: 4.407 4.407 2.813 Å, 90.00 90.00 90.00°
Space group P4/mmm (No. 123)
Inequivalent atoms, fractional coordinates:
Ag: 0.000 0.000 0.000 [1 per cell]
C: 0.500 0.500 0.500 [1 per cell]
O: 0.500 0.500 0.000 [1 per cell]
F: 0.000 0.500 0.500 [2 per cell]

Uncorrected energy: -4.084 eV/atom
Energy relative to the lowest polymorph listed for this composition: 0.000 eV/atom
Density: 5.29 g cm⁻³
Raw formation energy: 0.0708 eV/atom



[3]
Computed, not measured: an optimized crystal structure of TcAg2CF at the PBE-GGA level of DFT.

Cell: 5.312 5.312 3.762 Å, 90.00 90.00 90.00°
Space group P4/mmm (No. 123)
Inequivalent atoms, fractional coordinates:
Tc: 0.000 0.000 0.000 [1 per cell]
Ag: 0.000 0.500 0.000 [2 per cell]
C: 0.000 0.000 0.500 [1 per cell]
F: 0.500 0.500 0.500 [1 per cell]

Uncorrected energy: -4.322 eV/atom
Density: 5.39 g cm⁻³
Raw formation energy: 1.1107 eV/atom



[4]
Computed, not measured: an optimized crystal structure of TiAg2CF at the PBE-GGA level of DFT.

Cell: 4.591 4.591 3.922 Å, 90.00 90.00 90.00°
Space group P4/mmm (No. 123)
Inequivalent atoms, fractional coordinates:
Ti: 0.000 0.000 0.000 [1 per cell]
Ag: 0.000 0.500 0.500 [2 per cell]
C: 0.500 0.500 0.000 [1 per cell]
F: 0.000 0.000 0.500 [1 per cell]

Uncorrected energy: -3.985 eV/atom
Density: 5.92 g cm⁻³
Raw formation energy: 0.9533 eV/atom



[5]
Computed, not measured: an optimized crystal structure of ZnAgCF2 at the PBE-GGA level of DFT.

Cell: 4.023 4.023 4.176 Å, 90.00 90.00 90.00°
Space group P4/mmm (No. 123)
Inequivalent atoms, fractional coordinates:
Zn: 0.000 0.000 0.000 [1 per cell]
Ag: 0.500 0.500 0.500 [1 per cell]
C: 0.000 0.000 0.500 [1 per cell]
F: 0.000 0.500 0.000 [2 per cell]

Uncorrected energy: -3.352 eV/atom
Density: 5.49 g cm⁻³
Raw formation energy: 0.0659 eV/atom



[6]
Computed, not measured: an optimized crystal structure of FeAg3C at the PBE-GGA level of DFT.

Cell: 4.748 4.748 4.748 Å, 90.00 90.00 90.00°
Space group Pm-3m (No. 221)
Inequivalent atoms, fractional coordinates:
Fe: 0.000 0.000 0.000 [1 per cell]
Ag: 0.000 0.000 0.500 [3 per cell]
C: 0.500 0.500 0.500 [1 per cell]

Uncorrected energy: -2.701 eV/atom
Density: 6.07 g cm⁻³
ΔH_f (0 K): 2.547 eV/atom



Number 1: spin magnetization 0.5 μB/f.u.. Number 2: spin magnetization 0.0 μB/f.u.. Number 3: spin magnetization 2.3 μB/f.u.. Number 4: spin magnetization 0.0 μB/f.u.. Number 5: spin magnetization 1.5 μB/f.u.. Number 6: spin magnetization 0.0 μB/f.u..